The following is a PBE-GGA calculation of Y4Nb2Pb3C3 after structural relaxation, from OQMD. Values from VASP.

```
&SYSTEM
  ibrav = 0, nat = 24, ntyp = 4
/
ATOMIC_SPECIES
C 12.01 C.upf
Y 88.91 Y.upf
Pb 207.20 Pb.upf
Nb 92.91 Nb.upf
CELL_PARAMETERS angstrom
-3.849 1.890 -4.297
-1.912 -0.487 5.741
6.759 14.126 0.350
ATOMIC_POSITIONS angstrom
C 0.499 7.764 0.897
Y 2.280 14.637 -3.232
Y 2.087 5.995 0.226
C 0.979 7.028 4.191
Y 3.493 13.062 3.526
Pb 2.764 11.635 -2.094
Y -1.211 7.125 -0.749
Pb 0.467 11.953 0.101
Y 2.209 8.404 2.543
Y -2.494 2.466 -1.733
C -1.733 0.564 -0.350
C -0.956 -0.244 2.870
Pb 3.383 11.003 0.989
Nb -1.912 1.387 1.661
Y -1.089 9.534 1.568
Pb -1.766 3.894 3.888
C -4.027 0.838 1.794
Pb 0.532 3.575 1.693
Pb -2.384 4.526 0.805
Nb -0.416 6.589 2.576
Nb 1.415 8.939 -0.782
Y -1.281 0.891 5.026
C 0.020 8.500 -2.398
Nb 2.910 14.142 0.133
```

Properties
VASP energy = -7.54 eV/atom

---

The following is a PBE-GGA calculation of Y2Nb4Pb3C3 after structural relaxation, from OQMD. Values from VASP.

```
&SYSTEM
  ibrav = 0, nat = 24, ntyp = 4
/
ATOMIC_SPECIES
Nb 92.91 Nb.upf
C 12.01 C.upf
Pb 207.20 Pb.upf
Y 88.91 Y.upf
CELL_PARAMETERS angstrom
1.566 -0.049 -5.703
-2.585 -3.774 -3.749
-9.991 11.336 0.389
ATOMIC_POSITIONS angstrom
Nb -1.825 -2.415 -7.113
C -4.494 4.399 -5.887
Nb -9.186 9.928 -1.951
Pb -2.812 0.632 -6.614
Pb -8.199 6.881 -2.449
C -11.686 8.096 -4.658
Nb -9.795 7.459 -8.235
Pb -2.345 1.983 -3.048
Pb -6.110 8.290 -5.326
Nb -5.566 1.103 -8.068
Nb -6.186 3.822 -7.217
Y -4.912 2.205 -4.829
Y -9.258 8.457 -4.941
C 0.676 -0.584 -4.406
C -4.213 5.644 -2.657
Pb -8.666 5.530 -6.016
Nb -4.825 3.691 -1.846
Pb -4.901 -0.777 -3.737
C -6.517 3.113 -3.177
C -1.293 -1.887 -1.874
Y -1.753 -0.944 -4.123
Nb -1.216 0.054 -0.829
Nb -5.445 6.410 -0.996
Y -6.099 5.308 -4.235
```

Properties
VASP energy = -8.04 eV/atom

---

The following is a PBE-GGA calculation of ZrNbPbC after structural relaxation, from OQMD. Values from VASP.

```
&SYSTEM
  ibrav = 0, nat = 8, ntyp = 4
/
ATOMIC_SPECIES
Nb 92.91 Nb.upf
Pb 207.20 Pb.upf
C 12.01 C.upf
Zr 91.22 Zr.upf
CELL_PARAMETERS angstrom
3.383 0.000 0.000
-1.692 2.930 0.000
0.000 0.000 14.441
ATOMIC_POSITIONS angstrom
Nb 1.692 0.977 8.291
Pb 1.692 0.977 3.754
C 0.000 0.000 0.000
Nb 0.000 1.953 6.150
Pb 0.000 1.953 10.687
Zr 0.000 1.953 1.236
Zr 1.692 0.977 13.205
C 0.000 0.000 7.221
```

Properties
VASP energy = -8.35 eV/atom

---

The following is a PBE-GGA calculation of PrNb3C after structural relaxation, from OQMD. Values from VASP.

```
&SYSTEM
  ibrav = 0, nat = 5, ntyp = 3
/
ATOMIC_SPECIES
C 12.01 C.upf
Nb 92.91 Nb.upf
Pr 140.91 Pr.upf
CELL_PARAMETERS angstrom
-3.888 -2.164 -0.753
1.989 -2.451 -3.226
1.138 -3.111 3.065
ATOMIC_POSITIONS angstrom
C -0.381 -3.863 -0.457
Nb 1.563 -2.781 -0.080
Pr 0.000 0.000 0.000
Nb -1.375 -2.637 1.156
Nb -0.949 -2.307 -1.989
```

Properties
VASP energy = -8.67 eV/atom

---

The following is a PBE-GGA calculation of NbRe3C after structural relaxation, from OQMD. Values from VASP.

```
&SYSTEM
  ibrav = 0, nat = 5, ntyp = 3
/
ATOMIC_SPECIES
Re 186.21 Re.upf
Nb 92.91 Nb.upf
C 12.01 C.upf
CELL_PARAMETERS angstrom
-3.376 1.917 1.370
-2.021 -3.587 0.041
1.213 -0.639 3.882
ATOMIC_POSITIONS angstrom
Re -1.688 0.959 0.685
Re -1.010 -1.794 0.020
Re 0.606 -0.319 1.941
Nb -2.092 -1.154 2.647
C 0.000 0.000 0.000
```

Properties
VASP energy = -11.25 eV/atom

---

The following is a PBE-GGA calculation of Nb2CS after structural relaxation, from OQMD. Values from VASP.

```
&SYSTEM
  ibrav = 0, nat = 8, ntyp = 3
/
ATOMIC_SPECIES
S 32.06 S.upf
C 12.01 C.upf
Nb 92.91 Nb.upf
CELL_PARAMETERS angstrom
-0.420 1.905 2.680
-2.630 -0.986 -1.761
-0.877 -9.598 6.684
ATOMIC_POSITIONS angstrom
S -1.376 -1.458 2.871
C -0.438 -4.799 3.342
Nb -2.248 -3.907 2.424
C 0.000 0.000 0.000
S -2.551 -7.221 4.732
Nb -1.977 -0.937 0.356
Nb -1.950 -7.742 7.247
Nb -1.679 -4.773 5.179
```

Properties
VASP energy = -9.15 eV/atom